1.
A plane-wave DFT calculation with PBE was carried out for a relaxed Ta2CdSb crystal.

Calculated values
Size of the total moment in μB per atom: 0.0000

Cell: 3.006 3.006 10.133 Å, 90.00 90.00 105.44°
Positions (direct):
Ta 0.000 0.000 0.018
Ta 0.500 0.500 0.229
Cd 0.000 0.000 0.457
Sb 0.500 0.500 0.797


2.
A plane-wave DFT calculation with PBE was carried out for a relaxed Ta2CdSb crystal.

Calculated values
Size of the total moment in μB per atom: 0.0002

Cell: 9.704 9.704 9.704 Å, 19.35 19.35 19.35°
Positions (direct):
Sb 0.740 0.740 0.740
Cd 0.507 0.507 0.507
Ta 0.258 0.258 0.258
Ta 0.995 0.995 0.995


3.
A plane-wave DFT calculation with PBE was carried out for a relaxed Ta2CdSb crystal.

Calculated values
Size of the total moment in μB per atom: 0.0000

Cell: 2.998 4.413 5.967 Å, 90.00 90.00 90.00°
Positions (direct):
Cd 0.500 0.500 0.250
Ta 0.000 0.000 0.504
Ta 0.000 0.000 0.996
Sb 0.500 0.500 0.750


4.
A plane-wave DFT calculation with PBE was carried out for a relaxed Ta2CdSb crystal.

Calculated values
Size of the total moment in μB per atom: 0.0000

Cell: 2.936 2.936 10.878 Å, 90.00 90.00 90.00°
Positions (direct):
Ta 0.500 0.500 0.228
Ta 0.000 0.000 0.020
Sb 0.500 0.500 0.813
Cd 0.000 0.000 0.438


Relative calculated energies, zero for the most stable structure, unit kJ/mol of atoms: 1 0.0; 2 11.0; 3 24.9; 4 10.0.


1.
A plane-wave DFT calculation with PBE was carried out for a relaxed Ta2CdSb crystal.

Calculated values
Size of the total moment in μB per atom: 0.0000

Cell: 4.067 4.067 10.786 Å, 79.13 79.13 90.00°
Positions (direct):
Cd 0.500 0.500 0.000
Cd 0.250 0.750 0.500
Ta 0.629 0.125 0.250
Ta 0.375 0.371 0.750
Ta 0.875 0.879 0.750
Ta 0.121 0.625 0.250
Sb 0.750 0.250 0.500
Sb 0.000 0.000 0.000


2.
A plane-wave DFT calculation with PBE was carried out for a relaxed Ta2CdSb crystal.

Calculated values
Size of the total moment in μB per atom: 0.0000

Cell: 5.573 5.573 5.573 Å, 142.64 129.71 64.29°
Positions (direct):
Ta 0.234 0.734 0.500
Ta 0.008 0.008 0.000
Cd 0.498 0.498 0.000
Sb 0.760 0.260 0.500


3.
A plane-wave DFT calculation with PBE was carried out for a relaxed Ta2CdSb crystal.

Calculated values
Size of the total moment in μB per atom: 0.0001

Cell: 9.938 9.938 9.938 Å, 17.80 17.80 17.80°
Positions (direct):
Ta 0.002 0.002 0.002
Ta 0.498 0.498 0.498
Sb 0.750 0.750 0.750
Cd 0.250 0.250 0.250


4.
A plane-wave DFT calculation with PBE was carried out for a relaxed Ta2CdSb crystal.

Calculated values
Size of the total moment in μB per atom: 0.0000

Cell: 4.797 3.022 5.668 Å, 77.89 90.00 90.00°
Positions (direct):
Ta 0.000 0.045 0.996
Ta 0.500 0.186 0.254
Sb 0.500 0.737 0.776
Cd 0.000 0.532 0.474


Relative calculated energies, zero for the most stable structure, unit kJ/mol of atoms: 1 28.5; 2 0.0; 3 6.8; 4 2.4.


1.
A plane-wave DFT calculation with PBE was carried out for a relaxed Ta2CdSb crystal.

Calculated values
Size of the total moment in μB per atom: 0.0000

Cell: 4.855 4.855 4.855 Å, 60.00 60.00 60.00°
Positions (direct):
Cd 0.500 0.500 0.500
Ta 0.000 0.000 0.000
Ta 0.250 0.250 0.250
Sb 0.750 0.750 0.750


2.
A plane-wave DFT calculation with PBE was carried out for a relaxed Ta2CdSb crystal.

Calculated values
Size of the total moment in μB per atom: 0.0000

Cell: 4.640 3.004 5.798 Å, 79.08 90.00 90.00°
Positions (direct):
Cd 0.500 0.250 0.250
Ta 0.000 0.963 0.004
Ta 0.000 0.537 0.496
Sb 0.500 0.750 0.750


3.
A plane-wave DFT calculation with PBE was carried out for a relaxed Ta2CdSb crystal.

Calculated values
Size of the total moment in μB per atom: 0.0000

Cell: 3.317 3.317 7.194 Å, 90.00 90.00 90.00°
Positions (direct):
Cd 0.500 0.500 0.250
Ta 0.000 0.000 0.974
Ta 0.000 0.000 0.526
Sb 0.500 0.500 0.750


Relative calculated energies, zero for the most stable structure, unit kJ/mol of atoms: 1 27.7; 2 0.0; 3 5.3.